# 1
Compound: SiIN2
Source: Alexandria via LeMat-Bulk
Functional: PBE
Structure: relaxed

a b c (Å): 6.580 6.580 6.580
angles (deg): 26.74 26.74 26.74
Element x y z (fractional)
Si: 0.000 0.000 0.000
I: 0.500 0.500 0.500
N: 0.382 0.382 0.382
N: 0.618 0.618 0.618

Space-group type = R-3m, No. 166
Energy relative to the elements, uncorrected = 0.382 eV per atom
Energy above the lowest structure with this stoichiometry = 0.00 eV per formula unit
Total energy = -5.5235 eV/atom

***

# 2
Compound: TbZn12Pt4
Source: Alexandria via LeMat-Bulk
Functional: PBE
Structure: relaxed

a b c (Å): 7.540 7.540 7.540
angles (deg): 109.47 109.47 109.47
Element x y z (fractional)
Tb: 0.000 0.000 0.000
Zn: 0.151 0.351 0.502
Zn: 0.151 0.649 0.800
Zn: 0.200 0.849 0.351
Zn: 0.351 0.200 0.849
Zn: 0.351 0.502 0.151
Zn: 0.498 0.849 0.649
Zn: 0.502 0.151 0.351
Zn: 0.649 0.498 0.849
Zn: 0.649 0.800 0.151
Zn: 0.800 0.151 0.649
Zn: 0.849 0.351 0.200
Zn: 0.849 0.649 0.498
Pt: 0.000 0.000 0.500
Pt: 0.000 0.500 0.000
Pt: 0.500 0.000 0.000
Pt: 0.500 0.500 0.500

Space-group type = Im-3, No. 204
E_form = -105 meV per atom
Total energy = -2.6980 eV/atom

***

# 3
Compound: Zn2IrRh
Source: Alexandria via LeMat-Bulk
Functional: PBE
Structure: relaxed

a b c (Å): 4.336 4.336 4.336
angles (deg): 60.00 60.00 60.00
Element x y z (fractional)
Zn: 0.000 0.000 0.000
Zn: 0.250 0.250 0.250
Ir: 0.500 0.500 0.500
Rh: 0.750 0.750 0.750

Space-group type = F-43m, No. 216
E_form = -28 meV per atom
Total energy = -4.7181 eV/atom

***

# 4
Compound: NiMo2AsPb
Source: Alexandria via LeMat-Bulk
Functional: PBE
Structure: relaxed

a b c (Å): 5.275 5.275 5.262
angles (deg): 90.00 90.00 90.00
Element x y z (fractional)
Ni: 0.000 0.000 0.000
Mo: 0.000 0.500 0.500
Mo: 0.500 0.000 0.500
As: 0.500 0.500 0.000
Pb: 0.500 0.500 0.500

Space-group type = P4/mmm, No. 123
E_form = 2552 meV per atom
Total energy = -4.6085 eV/atom

***

# 5
Compound: LaNi2Pb
Source: Alexandria via LeMat-Bulk
Functional: PBE
Structure: relaxed

a b c (Å): 4.177 5.208 5.208
angles (deg): 46.49 90.00 90.00
Element x y z (fractional)
La: 0.000 0.000 0.000
Ni: 0.000 0.720 0.720
Ni: 0.500 0.584 0.584
Pb: 0.500 0.288 0.288

Space-group type = Amm2, No. 38
E_form = -266 meV per atom
Total energy = -5.3160 eV/atom

***

# 6
Compound: Hf2InPt9
Source: Alexandria via LeMat-Bulk
Functional: PBE
Structure: relaxed

a b c (Å): 4.035 4.035 12.120
angles (deg): 90.00 90.00 90.00
Element x y z (fractional)
Hf: 0.000 0.000 0.169
Hf: 0.000 0.000 0.831
In: 0.000 0.000 0.500
Pt: 0.000 0.500 0.000
Pt: 0.000 0.500 0.328
Pt: 0.000 0.500 0.672
Pt: 0.500 0.000 0.000
Pt: 0.500 0.000 0.328
Pt: 0.500 0.000 0.672
Pt: 0.500 0.500 0.165
Pt: 0.500 0.500 0.500
Pt: 0.500 0.500 0.835

Space-group type = P4/mmm, No. 123
E_form = -902 meV per atom
Total energy = -7.3199 eV/atom

***

Repeat the first record exactly.
Compound: SiIN2
Source: Alexandria via LeMat-Bulk
Functional: PBE
Structure: relaxed

a b c (Å): 6.580 6.580 6.580
angles (deg): 26.74 26.74 26.74
Element x y z (fractional)
Si: 0.000 0.000 0.000
I: 0.500 0.500 0.500
N: 0.382 0.382 0.382
N: 0.618 0.618 0.618

Space-group type = R-3m, No. 166
Energy relative to the elements, uncorrected = 0.382 eV per atom
Energy above the lowest structure with this stoichiometry = 0.00 eV per formula unit
Total energy = -5.5235 eV/atom

***

What is the total energy in the third record?
-4.7181 eV/atom

***

Repeat the first record exactly.
Compound: SiIN2
Source: Alexandria via LeMat-Bulk
Functional: PBE
Structure: relaxed

a b c (Å): 6.580 6.580 6.580
angles (deg): 26.74 26.74 26.74
Element x y z (fractional)
Si: 0.000 0.000 0.000
I: 0.500 0.500 0.500
N: 0.382 0.382 0.382
N: 0.618 0.618 0.618

Space-group type = R-3m, No. 166
Energy relative to the elements, uncorrected = 0.382 eV per atom
Energy above the lowest structure with this stoichiometry = 0.00 eV per formula unit
Total energy = -5.5235 eV/atom